*1*
# MgPSN2 PBE relaxed
# Density = 2.84 g/cm3
# M_tot = 0.5 μB/cell
data_MgPSN2
_space_group_name_H-M_alt 'P 4/m m m'
_space_group_IT_number 123
_space_group_name_Hall '-P 4 2'
_cell_length_a 3.387
_cell_length_b 3.387
_cell_length_c 5.869
_cell_angle_alpha 90.00
_cell_angle_beta 90.00
_cell_angle_gamma 90.00
loop_
_atom_site_label
_atom_site_type_symbol
_atom_site_fract_x
_atom_site_fract_y
_atom_site_fract_z
_atom_site_occupancy
Mg1 Mg 0.000 0.000 0.000 1
P1 P 0.500 0.500 0.500 1
S1 S 0.500 0.500 0.000 1
N1 N 0.000 0.500 0.500 1

---

*2*
# MgPSN2 PBE relaxed
# Density = 2.31 g/cm3
# M_tot = 3.0 μB/cell
data_MgPSN2
_space_group_name_H-M_alt 'P 4/m m m'
_space_group_IT_number 123
_space_group_name_Hall '-P 4 2'
_cell_length_a 4.019
_cell_length_b 4.019
_cell_length_c 5.137
_cell_angle_alpha 90.00
_cell_angle_beta 90.00
_cell_angle_gamma 90.00
loop_
_atom_site_label
_atom_site_type_symbol
_atom_site_fract_x
_atom_site_fract_y
_atom_site_fract_z
_atom_site_occupancy
Mg1 Mg 0.000 0.000 0.000 1
P1 P 0.500 0.500 0.500 1
S1 S 0.000 0.000 0.500 1
N1 N 0.000 0.500 0.000 1

---

It comes down to *1*, which is 130.4 kJ/mol of atoms more stable than the next structure.

---

*1*
# MgTePN2 PBE relaxed
# Density = 4.31 g/cm3
# M_tot = 0.7 μB/cell
data_MgTePN2
_space_group_name_H-M_alt 'P 4/m m m'
_space_group_IT_number 123
_space_group_name_Hall '-P 4 2'
_cell_length_a 3.663
_cell_length_b 3.663
_cell_length_c 6.061
_cell_angle_alpha 90.00
_cell_angle_beta 90.00
_cell_angle_gamma 90.00
loop_
_atom_site_label
_atom_site_type_symbol
_atom_site_fract_x
_atom_site_fract_y
_atom_site_fract_z
_atom_site_occupancy
Mg1 Mg 0.000 0.000 0.000 1
Te1 Te 0.500 0.500 0.000 1
P1 P 0.500 0.500 0.500 1
N1 N 0.000 0.500 0.500 1

---

*2*
# MgTePN2 PBE relaxed
# Density = 3.37 g/cm3
# M_tot = 3.4 μB/cell
data_MgTePN2
_space_group_name_H-M_alt 'P 4/m m m'
_space_group_IT_number 123
_space_group_name_Hall '-P 4 2'
_cell_length_a 4.106
_cell_length_b 4.106
_cell_length_c 6.163
_cell_angle_alpha 90.00
_cell_angle_beta 90.00
_cell_angle_gamma 90.00
loop_
_atom_site_label
_atom_site_type_symbol
_atom_site_fract_x
_atom_site_fract_y
_atom_site_fract_z
_atom_site_occupancy
Mg1 Mg 0.000 0.000 0.000 1
Te1 Te 0.000 0.000 0.500 1
P1 P 0.500 0.500 0.500 1
N1 N 0.000 0.500 0.000 1

---

It comes down to *1*, which is 62.4 kJ/mol of atoms more stable than the next structure.

---

*1*
# Mg2Pb2N PBE relaxed
# Density = 5.65 g/cm3
# M_tot = 3.4 μB/cell
data_Mg2Pb2N
_space_group_name_H-M_alt 'I 4/m m m'
_space_group_IT_number 139
_space_group_name_Hall '-I 4 2'
_cell_length_a 4.298
_cell_length_b 4.298
_cell_length_c 15.188
_cell_angle_alpha 90.00
_cell_angle_beta 90.00
_cell_angle_gamma 90.00
loop_
_atom_site_label
_atom_site_type_symbol
_atom_site_fract_x
_atom_site_fract_y
_atom_site_fract_z
_atom_site_occupancy
Mg1 Mg 0.000 0.000 0.093 1
Pb1 Pb 0.000 0.500 0.250 1
N1 N 0.000 0.000 0.500 1

---

*2*
# Mg2Pb2N PBE relaxed
# Density = 6.83 g/cm3
# M_tot = 0.0 μB/cell
data_Mg2Pb2N
_space_group_name_H-M_alt 'P 4/m b m'
_space_group_IT_number 127
_space_group_name_Hall '-P 4 2ab'
_cell_length_a 6.053
_cell_length_b 6.053
_cell_length_c 6.332
_cell_angle_alpha 90.00
_cell_angle_beta 90.00
_cell_angle_gamma 90.00
loop_
_atom_site_label
_atom_site_type_symbol
_atom_site_fract_x
_atom_site_fract_y
_atom_site_fract_z
_atom_site_occupancy
Mg1 Mg 0.219 0.281 0.000 1
Pb1 Pb 0.181 0.681 0.500 1
N1 N 0.000 0.000 0.000 1

---

It comes down to *2*, which is 91.7 kJ/mol of atoms more stable than the next structure.

---

*1*
# MgPbN PBE relaxed
# Density = 6.76 g/cm3
# M_tot = 0.0 μB/cell
data_MgPbN
_space_group_name_H-M_alt 'C 1 m 1'
_space_group_IT_number 8
_cell_length_a 6.090
_cell_length_b 3.492
_cell_length_c 6.017
_cell_angle_alpha 90.00
_cell_angle_beta 109.46
_cell_angle_gamma 90.00
loop_
_space_group_symop_operation_xyz
'x,y,z'
'x,-y,z'
'x+1/2,y+1/2,z'
'x+1/2,-y+1/2,z'
loop_
_atom_site_label
_atom_site_type_symbol
_atom_site_fract_x
_atom_site_fract_y
_atom_site_fract_z
_atom_site_occupancy
Mg1 Mg 0.000 0.000 0.000 1
Pb1 Pb 0.018 0.500 0.542 1
N1 N 0.145 0.500 0.931 1

---

*2*
# MgPbN PBE relaxed
# Density = 6.16 g/cm3
# M_tot = 0.0 μB/cell
data_MgPbN
_space_group_name_H-M_alt 'P m m 2'
_space_group_IT_number 25
_cell_length_a 4.055
_cell_length_b 10.115
_cell_length_c 3.225
_cell_angle_alpha 90.00
_cell_angle_beta 90.00
_cell_angle_gamma 90.00
loop_
_space_group_symop_operation_xyz
'x,y,z'
'-x,-y,z'
'-x,y,z'
'x,-y,z'
loop_
_atom_site_label
_atom_site_type_symbol
_atom_site_fract_x
_atom_site_fract_y
_atom_site_fract_z
_atom_site_occupancy
Mg1 Mg 0.000 0.000 0.000 1
Mg2 Mg 0.500 0.500 0.053 1
Pb1 Pb 0.000 0.309 0.550 1
N1 N 0.350 0.000 0.499 1

---

It comes down to *1*, which is 13.8 kJ/mol of atoms more stable than the next structure.

---

*1*
# MgTePbN2 PBE relaxed
# Density = 4.98 g/cm3
# M_tot = 2.5 μB/cell
data_MgTePbN2
_space_group_name_H-M_alt 'P 4/m m m'
_space_group_IT_number 123
_space_group_name_Hall '-P 4 2'
_cell_length_a 4.472
_cell_length_b 4.472
_cell_length_c 6.452
_cell_angle_alpha 90.00
_cell_angle_beta 90.00
_cell_angle_gamma 90.00
loop_
_atom_site_label
_atom_site_type_symbol
_atom_site_fract_x
_atom_site_fract_y
_atom_site_fract_z
_atom_site_occupancy
Mg1 Mg 0.000 0.000 0.000 1
Te1 Te 0.500 0.500 0.000 1
Pb1 Pb 0.500 0.500 0.500 1
N1 N 0.000 0.500 0.500 1

---

*2*
# MgTePbN2 PBE relaxed
# Density = 5.52 g/cm3
# M_tot = 3.9 μB/cell
data_MgTePbN2
_space_group_name_H-M_alt 'P 4/m m m'
_space_group_IT_number 123
_space_group_name_Hall '-P 4 2'
_cell_length_a 4.435
_cell_length_b 4.435
_cell_length_c 5.921
_cell_angle_alpha 90.00
_cell_angle_beta 90.00
_cell_angle_gamma 90.00
loop_
_atom_site_label
_atom_site_type_symbol
_atom_site_fract_x
_atom_site_fract_y
_atom_site_fract_z
_atom_site_occupancy
Mg1 Mg 0.000 0.000 0.000 1
Te1 Te 0.000 0.000 0.500 1
Pb1 Pb 0.500 0.500 0.500 1
N1 N 0.000 0.500 0.000 1

---

It comes down to *2*, which is 24.3 kJ/mol of atoms more stable than the next structure.

---

*1*
# MgPd2N PBE relaxed
# Density = 5.59 g/cm3
# M_tot = 0.0 μB/cell
data_MgPd2N
_space_group_name_H-M_alt 'I -4 2 d'
_space_group_IT_number 122
_space_group_name_Hall 'I -4 2bw'
_cell_length_a 4.973
_cell_length_b 4.973
_cell_length_c 12.058
_cell_angle_alpha 90.00
_cell_angle_beta 90.00
_cell_angle_gamma 90.00
loop_
_atom_site_label
_atom_site_type_symbol
_atom_site_fract_x
_atom_site_fract_y
_atom_site_fract_z
_atom_site_occupancy
Mg1 Mg 0.000 0.000 0.000 1
Pd1 Pd 0.081 0.250 0.625 1
N1 N 0.000 0.000 0.500 1

---

*2*
# MgPd2N PBE relaxed
# Density = 7.62 g/cm3
# M_tot = 0.0 μB/cell
data_MgPd2N
_space_group_name_H-M_alt 'F m -3 m'
_space_group_IT_number 225
_space_group_name_Hall '-F 4 2 3'
_cell_length_a 6.027
_cell_length_b 6.027
_cell_length_c 6.027
_cell_angle_alpha 90.00
_cell_angle_beta 90.00
_cell_angle_gamma 90.00
loop_
_atom_site_label
_atom_site_type_symbol
_atom_site_fract_x
_atom_site_fract_y
_atom_site_fract_z
_atom_site_occupancy
Mg1 Mg 0.000 0.000 0.000 1
Pd1 Pd 0.250 0.250 0.250 1
N1 N 0.000 0.000 0.500 1

---

It comes down to *1*, which is 36.9 kJ/mol of atoms more stable than the next structure.

---

*1*
# MgPdS2N PBE relaxed
# Density = 3.98 g/cm3
# M_tot = 0.0 μB/cell
data_MgPdS2N
_space_group_name_H-M_alt 'P 4/m m m'
_space_group_IT_number 123
_space_group_name_Hall '-P 4 2'
_cell_length_a 4.766
_cell_length_b 4.766
_cell_length_c 3.835
_cell_angle_alpha 90.00
_cell_angle_beta 90.00
_cell_angle_gamma 90.00
loop_
_atom_site_label
_atom_site_type_symbol
_atom_site_fract_x
_atom_site_fract_y
_atom_site_fract_z
_atom_site_occupancy
Mg1 Mg 0.000 0.000 0.000 1
Pd1 Pd 0.500 0.500 0.500 1
S1 S 0.000 0.500 0.000 1
N1 N 0.000 0.000 0.500 1

---

*2*
# MgPdS2N PBE relaxed
# Density = 3.86 g/cm3
# M_tot = 0.6 μB/cell
data_MgPdS2N
_space_group_name_H-M_alt 'P 4/m m m'
_space_group_IT_number 123
_space_group_name_Hall '-P 4 2'
_cell_length_a 4.920
_cell_length_b 4.920
_cell_length_c 3.713
_cell_angle_alpha 90.00
_cell_angle_beta 90.00
_cell_angle_gamma 90.00
loop_
_atom_site_label
_atom_site_type_symbol
_atom_site_fract_x
_atom_site_fract_y
_atom_site_fract_z
_atom_site_occupancy
Mg1 Mg 0.000 0.000 0.000 1
Pd1 Pd 0.500 0.500 0.500 1
S1 S 0.000 0.500 0.500 1
N1 N 0.500 0.500 0.000 1

---

It comes down to *2*, which is 53.9 kJ/mol of atoms more stable than the next structure.